1.
# KCd2Mo

A geometry-optimized KCd2Mo structure (PBE, Alexandria).

- Excess energy over the best structure of this formula in the dataset: 0.528 eV/f.u.
- Theoretical density: 6.6 g/cm³
- Raw total energy: -2.79 eV per atom
- Energy relative to the elements: 0.65 eV per atom

Lattice parameters (Å, degrees): 2.9016 2.9016 10.8330 90.00 90.00 90.00
With the nearest neighbours (Å) after each atom.
Positions (direct):
Cd: 0.0000 0.0000 0.9845  4 Cd 2.90, 4 Mo 2.99
K: 0.0000 0.0000 0.5070  4 K 2.90
Mo: 0.5000 0.5000 0.7836  4 Mo 2.90, 4 Cd 2.99
Cd: 0.5000 0.5000 0.2249  4 Cd 2.90

---

2.
# KCd2Mo

A geometry-optimized KCd2Mo structure (PBE, Alexandria).

- Excess energy over the best structure of this formula in the dataset: 0.809 eV/f.u.
- Theoretical density: 5.6 g/cm³
- Raw total energy: -2.72 eV per atom
- Energy relative to the elements: 0.72 eV per atom

Lattice parameters (Å, degrees): 2.8377 4.6721 8.0564 90.00 90.00 90.00
With the nearest neighbours (Å) after each atom.
Positions (direct):
Mo: 0.5000 0.5000 0.8348  2 Mo 2.84, 5 Cd 2.91-2.93
Cd: 0.5000 0.5000 0.1982  2 Cd 2.84, 1 Mo 2.93
K: 0.0000 0.0000 0.5095  2 K 2.84
Cd: 0.0000 0.0000 0.9576  2 Cd 2.84, 4 Mo 2.91

---

3.
# KCd2Mo

A geometry-optimized KCd2Mo structure (PBE, Alexandria).

- Excess energy over the best structure of this formula in the dataset: 0.000 eV/f.u.
- Theoretical density: 6.6 g/cm³
- Raw total energy: -2.92 eV per atom
- Energy relative to the elements: 0.52 eV per atom

Lattice parameters (Å, degrees): 2.9285 2.9285 10.5035 90.00 90.00 90.14
With the nearest neighbours (Å) after each atom.
Positions (direct):
K: 0.5000 0.5000 0.2500  4 K 2.93
Mo: 0.5000 0.5000 0.7500  4 Mo 2.93, 8 Cd 3.03
Cd: 0.0000 0.0000 0.5395  4 Cd 2.93, 4 Mo 3.03
Cd: 0.0000 0.0000 0.9605  4 Cd 2.93, 4 Mo 3.03